Compound: CdTeRu2
Source: Alexandria via LeMat-Bulk
Functional: GGA-PBE
Structure: optimized geometry

Lattice parameters (Å, degrees): 8.475 8.475 8.475 21.54 21.54 21.54
Fractional coordinates of all 4 atoms:
Cd (0.750, 0.750, 0.750)
Ru (0.507, 0.507, 0.507)
Te (0.250, 0.250, 0.250)
Ru (0.993, 0.993, 0.993)

- energy relative to the lowest polymorph listed for this composition (kcal/mol of atoms) = 2.88
- uncorrected formation energy (eV per atom) = 0.37
- SG = No. 166

---

Compound: Nd3Dy6Er2
Source: Alexandria via LeMat-Bulk
Functional: GGA-PBE
Structure: optimized geometry

Lattice parameters (Å, degrees): 4.758 4.758 16.956 98.07 98.07 90.00
Fractional coordinates of all 11 atoms:
Dy (0.307, 0.307, 0.614)
Er (0.454, 0.454, 0.908)
Dy (0.120, 0.620, 0.240)
Nd (0.000, 0.000, 0.000)
Dy (0.880, 0.380, 0.760)
Nd (0.797, 0.797, 0.594)
Dy (0.620, 0.120, 0.240)
Er (0.546, 0.546, 0.092)
Dy (0.693, 0.693, 0.386)
Nd (0.203, 0.203, 0.406)
Dy (0.380, 0.880, 0.760)

- energy relative to the lowest polymorph listed for this composition (kcal/mol of atoms) = 3.41
- E_form (eV per atom) = 0.276
- SG = No. 139

---

Compound: Tb2AgHgRh
Source: Alexandria via LeMat-Bulk
Functional: GGA-PBE
Structure: optimized geometry

Lattice parameters (Å, degrees): 3.995 8.135 7.964 113.29 90.00 90.00
Fractional coordinates of all 10 atoms:
Ag (0.750, 0.452, 0.355)
Ag (0.250, 0.548, 0.645)
Tb (0.250, 0.295, 0.002)
Rh (0.750, 0.101, 0.095)
Hg (0.750, 0.292, 0.692)
Tb (0.750, 0.705, 0.998)
Tb (0.750, 0.873, 0.648)
Rh (0.250, 0.899, 0.905)
Tb (0.250, 0.127, 0.352)
Hg (0.250, 0.708, 0.308)

- E_form (eV per atom) = -0.507
- SG = No. 11

---

Compound: Ga3Ni13
Source: Alexandria via LeMat-Bulk
Functional: GGA-PBE
Structure: optimized geometry

Lattice parameters (Å, degrees): 5.015 5.015 7.232 90.00 90.00 92.61
Last column: magnetic moment on the atom in μB.
Fractional coordinates of all 16 atoms:
Ni (0.747, 0.745, 0.500)  0.29
Ga (0.012, 0.988, 0.260)  -0.02
Ni (0.255, 0.253, 0.500)  0.29
Ni (0.496, 0.504, 0.252)  0.37
Ni (0.496, 0.504, 0.748)  0.37
Ni (0.260, 0.740, 0.000)  0.42
Ga (0.012, 0.988, 0.740)  -0.02
Ni (0.999, 0.494, 0.749)  0.25
Ni (0.231, 0.244, 0.000)  0.17
Ni (0.746, 0.254, 0.500)  0.47
Ni (0.756, 0.769, 0.000)  0.17
Ni (0.506, 0.001, 0.251)  0.25
Ni (0.506, 0.001, 0.749)  0.25
Ga (0.724, 0.276, 0.000)  -0.02
Ni (0.999, 0.494, 0.251)  0.25
Ni (0.257, 0.743, 0.500)  0.25

- E_form (eV per atom) = -0.182
- SG = No. 38

---

Compound: PrMgAg
Source: Alexandria via LeMat-Bulk
Functional: GGA-PBE
Structure: optimized geometry

Lattice parameters (Å, degrees): 4.431 7.755 7.755 120.00 90.00 90.00
Fractional coordinates of all 9 atoms:
Mg (0.000, 0.000, 0.239)
Ag (0.500, 0.000, 0.000)
Pr (0.500, 0.416, 0.416)
Ag (0.000, 0.333, 0.667)
Mg (0.000, 0.239, 0.000)
Pr (0.500, 0.000, 0.584)
Pr (0.500, 0.584, 0.000)
Ag (0.000, 0.667, 0.333)
Mg (0.000, 0.761, 0.761)

- E_form (eV per atom) = -0.258
- SG = No. 189

---

Compound: Ac2DyYTe6
Source: Alexandria via LeMat-Bulk
Functional: GGA-PBE
Structure: optimized geometry

Lattice parameters (Å, degrees): 8.099 8.099 8.452 61.39 61.39 60.01
Fractional coordinates of all 10 atoms:
Te (0.454, 0.691, 0.764)
Te (0.191, 0.955, 0.264)
Te (0.591, 0.191, 0.263)
Te (0.691, 0.092, 0.763)
Te (0.955, 0.591, 0.264)
Ac (0.023, 0.022, 0.932)
Te (0.092, 0.454, 0.763)
Ac (0.523, 0.523, 0.432)
Dy (0.322, 0.322, 0.035)
Y (0.821, 0.822, 0.535)

- uncorrected formation energy (eV per atom) = -1.45
- SG = No. 146

---

Compound: Ta2AlS
Source: Alexandria via LeMat-Bulk
Functional: GGA-PBE
Structure: optimized geometry

Lattice parameters (Å, degrees): 4.510 4.510 4.510 60.00 60.00 60.00
Fractional coordinates of all 4 atoms:
Al (0.000, 0.000, 0.000)
Ta (0.250, 0.250, 0.250)
Ta (0.750, 0.750, 0.750)
S (0.500, 0.500, 0.500)

- energy relative to the lowest polymorph listed for this composition (kcal/mol of atoms) = 0.00
- uncorrected formation energy (eV per atom) = 0.11
- SG = No. 225

---

Compound: K2ZrCr
Source: Alexandria via LeMat-Bulk
Functional: GGA-PBE
Structure: optimized geometry

Lattice parameters (Å, degrees): 13.079 13.079 13.079 14.61 14.61 14.61
Last column: magnetic moment on the atom in μB.
Fractional coordinates of all 4 atoms:
Cr (0.750, 0.750, 0.750)  3.91
K (0.004, 0.004, 0.004)  0.01
K (0.496, 0.496, 0.496)  0.01
Zr (0.250, 0.250, 0.250)  0.53

- energy relative to the lowest polymorph listed for this composition (kcal/mol of atoms) = 9.84
- E_form (eV per atom) = 1.104
- SG = No. 166

---

Compound: TlP3
Source: Alexandria via LeMat-Bulk
Functional: GGA-PBE
Structure: optimized geometry

Lattice parameters (Å, degrees): 5.350 5.350 5.350 90.00 90.00 90.00
Fractional coordinates of all 8 atoms:
Tl (0.500, 0.500, 0.500)
P (0.500, 0.000, 0.250)
P (0.250, 0.500, 0.000)
P (0.000, 0.250, 0.500)
Tl (0.000, 0.000, 0.000)
P (0.500, 0.000, 0.750)
P (0.000, 0.750, 0.500)
P (0.750, 0.500, 0.000)

- E_form (eV per atom) = 1.007
- SG = No. 223

---

Compound: Sr2CdRh
Source: Alexandria via LeMat-Bulk
Functional: GGA-PBE
Structure: optimized geometry

Lattice parameters (Å, degrees): 5.352 5.352 3.910 90.03 90.03 89.99
Fractional coordinates of all 4 atoms:
Sr (0.500, 0.500, 0.000)
Cd (0.500, 0.000, 0.500)
Rh (0.000, 0.500, 0.500)
Sr (0.000, 0.000, 0.000)

- E_form (eV per atom) = -0.144
- SG = No. 123

---

Compound: CrSbS2
Source: Alexandria via LeMat-Bulk
Functional: GGA-PBE
Structure: optimized geometry

Lattice parameters (Å, degrees): 3.463 3.463 8.028 90.00 90.00 120.00
Last column: magnetic moment on the atom in μB.
Fractional coordinates of all 4 atoms:
Sb (0.333, 0.667, 0.505)  0.01
S (0.333, 0.667, 0.819)  -0.04
S (0.667, 0.333, 0.145)  -0.08
Cr (0.000, 0.000, 0.986)  2.83

- uncorrected formation energy (eV per atom) = -0.43
- SG = No. 156

---

Compound: ScTiV4
Source: Alexandria via LeMat-Bulk
Functional: GGA-PBE
Structure: optimized geometry

Lattice parameters (Å, degrees): 5.140 5.140 5.140 60.00 60.00 60.00
Last column: magnetic moment on the atom in μB.
Fractional coordinates of all 6 atoms:
V (0.625, 0.625, 0.625)  0.32
V (0.625, 0.125, 0.625)  0.32
Ti (0.000, 0.000, 0.000)  0.80
V (0.625, 0.625, 0.125)  0.32
V (0.125, 0.625, 0.625)  0.32
Sc (0.250, 0.250, 0.250)  0.37

- E_form (eV per atom) = 0.177
- SG = No. 216

---

Number 1: raw total energy -5.2799 eV per atom, total moment 0.00 μB/cell. Number 2: raw total energy -4.3643 eV per atom, total moment 0.00 μB/cell. Number 3: raw total energy -4.4602 eV per atom, total moment 0.00 μB/cell. Number 4: raw total energy -5.4466 eV per atom, total moment 3.54 μB/cell. Number 5: raw total energy -3.3330 eV per atom, total moment 0.00 μB/cell. Number 6: raw total energy -5.2622 eV per atom, total moment 0.00 μB/cell. Number 7: raw total energy -7.7825 eV per atom, total moment 0.00 μB/cell. Number 8: raw total energy -3.9874 eV per atom, total moment 5.63 μB/cell. Number 9: raw total energy -3.6417 eV per atom, total moment 0.00 μB/cell. Number 10: raw total energy -3.0520 eV per atom, total moment 0.00 μB/cell. Number 11: raw total energy -5.9347 eV per atom, total moment 2.97 μB/cell. Number 12: raw total energy -8.2735 eV per atom, total moment 3.47 μB/cell.